No. 1
! PBE-GGA BaMnCl6, optimized geometry; values from VASP
&SYSTEM
  ibrav = 0, nat = 8, ntyp = 3
/
ATOMIC_SPECIES
Ba 137.33 Ba.upf
Mn 54.94 Mn.upf
Cl 35.45 Cl.upf
CELL_PARAMETERS angstrom
6.5586 0.0000 0.0000
-3.2647 5.7052 0.0000
-3.2646 -1.8841 6.0433
ATOMIC_POSITIONS angstrom
Ba 0.0000 0.0000 0.0000
Mn -3.2646 1.9105 3.0217
Cl -1.4265 2.2749 1.7087
Cl -2.0335 0.4937 4.3303
Cl -2.6562 3.6791 4.3410
Cl 2.6855 0.1419 1.7023
Cl 2.0628 3.3273 1.7130
Cl 1.4558 1.5462 4.3346
! E_form (uncorrected) = -1425 meV per atom
! crystal system = triclinic
! ΔE to the lowest computed polymorph = 63 meV/atom
! V = 28.266 Å³ per atom

No. 2
! PBE-GGA BaMn2Cl8, optimized geometry; values from VASP
&SYSTEM
  ibrav = 0, nat = 11, ntyp = 3
/
ATOMIC_SPECIES
Ba 137.33 Ba.upf
Mn 54.94 Mn.upf
Cl 35.45 Cl.upf
CELL_PARAMETERS angstrom
6.3040 0.0000 0.0000
0.0000 6.3040 0.0000
0.0000 0.0000 7.4716
ATOMIC_POSITIONS angstrom
Ba 0.0000 0.0000 0.0000
Mn 0.0000 3.1520 3.7358
Mn 3.1520 0.0000 3.7358
Cl 1.5979 1.5979 2.1965
Cl 1.5979 1.5979 5.2751
Cl 1.5979 4.7062 2.1965
Cl 1.5979 4.7062 5.2751
Cl 4.7062 1.5979 2.1965
Cl 4.7062 1.5979 5.2751
Cl 4.7062 4.7062 2.1965
Cl 4.7062 4.7062 5.2751
! E_form (uncorrected) = -995 meV per atom
! crystal system = tetragonal
! ΔE to the lowest computed polymorph = 332 meV/atom
! V = 26.993 Å³ per atom

No. 3
! PBE-GGA BaMnCl2, optimized geometry; values from VASP
&SYSTEM
  ibrav = 0, nat = 4, ntyp = 3
/
ATOMIC_SPECIES
Ba 137.33 Ba.upf
Mn 54.94 Mn.upf
Cl 35.45 Cl.upf
CELL_PARAMETERS angstrom
2.3344 1.3478 10.0727
-2.3344 1.3478 10.0727
0.0000 -2.6955 10.0727
ATOMIC_POSITIONS angstrom
Ba 0.0000 0.0000 0.0000
Mn 0.0000 0.0000 15.1091
Cl 0.0000 0.0000 8.5897
Cl 0.0000 0.0000 21.6285
! E_form (uncorrected) = -936 meV per atom
! crystal system = trigonal
! ΔE to the lowest computed polymorph = 45 meV/atom
! V = 47.537 Å³ per atom

No. 4
! PBE-GGA Ba2MnCl, optimized geometry; values from VASP
&SYSTEM
  ibrav = 0, nat = 4, ntyp = 3
/
ATOMIC_SPECIES
Ba 137.33 Ba.upf
Mn 54.94 Mn.upf
Cl 35.45 Cl.upf
CELL_PARAMETERS angstrom
2.2142 1.2784 8.7970
-2.2142 1.2784 8.7970
0.0000 -2.5567 8.7970
ATOMIC_POSITIONS angstrom
Ba 0.0000 0.0000 6.5770
Ba 0.0000 0.0000 19.8140
Mn 0.0000 0.0000 13.1955
Cl 0.0000 0.0000 0.0000
! E_form (uncorrected) = -512 meV per atom
! crystal system = trigonal
! ΔE to the lowest computed polymorph = 0 meV/atom
! V = 37.345 Å³ per atom